VASP calculation (PBE) on an optimized crystal structure of Zr3Tl.

Properties
Electronic total energy, eV/atom: -7.016
Size of the total moment, μB/f.u.: 0.0
Energy of formation, meV/atom: -14
Space group: No. 65

Cell lengths 5.537, 5.537, 3.184 Å; angles 90.00, 90.00, 109.67 degrees
Fractional positions:
Zr: 0.000 0.000 0.000
Zr: 0.000 0.500 0.500
Zr: 0.500 0.000 0.500
Tl: 0.500 0.500 0.000

---

VASP calculation (PBE) on an optimized crystal structure of Zr5Tl.

Properties
Electronic total energy, eV/atom: -7.570
Size of the total moment, μB/f.u.: 0.0
Energy of formation, meV/atom: -52
Space group: No. 65

Cell lengths 7.286, 7.286, 4.444 Å; angles 90.00, 90.00, 144.29 degrees
Fractional positions:
Zr: 0.000 0.000 0.000
Zr: 0.167 0.833 0.500
Zr: 0.333 0.667 0.000
Zr: 0.667 0.333 0.000
Zr: 0.833 0.167 0.500
Tl: 0.500 0.500 0.500

---

VASP calculation (PBE) on an optimized crystal structure of ZrTl3.

Properties
Electronic total energy, eV/atom: -3.817
Size of the total moment, μB/f.u.: 0.0
Energy of formation, meV/atom: 94
Space group: No. 123

Cell lengths 3.265, 3.265, 10.033 Å; angles 90.00, 90.00, 90.00 degrees
Fractional positions:
Zr: 0.000 0.000 0.000
Tl: 0.000 0.000 0.500
Tl: 0.500 0.500 0.221
Tl: 0.500 0.500 0.779